Entry 1:
An optimized crystal structure of NaRuAu2S. Source: Alexandria via LeMat-Bulk, functional GGA-PBE.

```
NaRuAu2S
1.0
-1.1110 -2.6645 4.3963
-2.9842 -2.2526 -2.1193
3.6181 -3.6004 -1.2678
Ru S Au Na
1 1 2 1
Cartesian
0.0000 0.0000 0.0000 Ru
-1.4921 -1.1263 -1.0597 S
1.8090 -1.8002 -0.6339 Au
-0.5555 -1.3322 2.1981 Au
-0.2386 -4.2587 0.5046 Na
```

Properties
total moment: 0.00 μB per formula unit
formation energy from raw total energies: 0.094 eV/atom
SG: P4/mmm



Entry 2:
An optimized crystal structure of NaTcRu2Au. Source: Alexandria via LeMat-Bulk, functional GGA-PBE.

```
NaTcRu2Au
1.0
-2.5723 2.6738 -2.5030
-3.4560 -0.6753 2.8302
1.3009 3.5262 2.4299
Ru Au Tc Na
2 1 1 1
Cartesian
0.6504 1.7631 1.2150 Ru
-1.2861 1.3369 -1.2515 Ru
-2.3637 2.7623 1.3786 Au
-1.7280 -0.3377 1.4151 Tc
0.0000 0.0000 0.0000 Na
```

Properties
total moment: 4.47 μB per formula unit
ΔE_f: 2.345 eV per atom
SG: P4/mmm



Entry 3:
An optimized crystal structure of Na2TlRuAu. Source: Alexandria via LeMat-Bulk, functional GGA-PBE.

```
Na2TlRuAu
1.0
-1.8755 -4.7576 1.4220
4.9447 -1.6778 0.9083
-0.3652 1.6481 5.0323
Ru Tl Au Na
1 1 1 2
Cartesian
1.3520 -2.3936 3.6813 Ru
2.4723 -0.8389 0.4541 Tl
0.0000 0.0000 0.0000 Au
-0.1826 0.8240 2.5162 Na
-0.9377 -2.3788 0.7110 Na
```

Properties
total moment: 2.25 μB per formula unit
ΔE_f: 0.897 eV per atom
SG: P4/mmm



Entry 4:
An optimized crystal structure of Na2YRuAu. Source: Alexandria via LeMat-Bulk, functional GGA-PBE.

```
Na2YRuAu
1.0
-1.8139 -4.1475 2.2097
0.3533 -2.7849 -4.9371
4.6890 -1.4393 1.1474
Y Ru Au Na
1 1 1 2
Cartesian
0.1767 -1.3924 -2.4685 Y
1.6142 -4.1859 -0.7900 Ru
0.0000 0.0000 0.0000 Au
2.3445 -0.7197 0.5737 Na
-0.9069 -2.0738 1.1049 Na
```

Properties
total moment: 1.10 μB per formula unit
ΔE_f: 0.757 eV per atom
SG: P4/mmm



Entry 5:
An optimized crystal structure of NaZn2RuAu. Source: Alexandria via LeMat-Bulk, functional GGA-PBE.

```
NaZn2RuAu
1.0
4.8925 0.0000 0.0000
0.0000 5.1981 0.0000
0.0000 0.0000 4.8925
Ru Zn Au Na
1 2 1 1
Cartesian
0.0000 2.5990 0.0000 Ru
0.0000 0.0000 2.4463 Zn
2.4463 0.0000 0.0000 Zn
0.0000 0.0000 0.0000 Au
2.4463 2.5990 2.4463 Na
```

Properties
total moment: 2.34 μB per formula unit
ΔE_f: 0.673 eV per atom
SG: P4/mmm



Entry 6:
An optimized crystal structure of Na2ZnRuAu. Source: Alexandria via LeMat-Bulk, functional GGA-PBE.

```
Na2ZnRuAu
1.0
-2.7101 4.2376 -0.9512
-3.9710 -2.2101 1.4681
0.8625 1.6240 4.7776
Ru Zn Au Na
1 1 1 2
Cartesian
-2.9093 1.8258 2.6472 Ru
0.0000 0.0000 0.0000 Zn
-1.9855 -1.1050 0.7341 Au
0.4312 0.8120 2.3888 Na
-1.3550 2.1188 -0.4756 Na
```

Properties
total moment: 2.34 μB per formula unit
ΔE_f: 0.971 eV per atom
SG: P4/mmm



Entry 7:
An optimized crystal structure of NaAuS. Source: Alexandria via LeMat-Bulk, functional GGA-PBE.

```
NaAuS
1.0
-2.1470 -1.6713 -3.1500
3.5352 -0.0415 -2.3875
-0.9646 -3.3627 2.4416
Na S Au
1 1 1
Cartesian
0.6031 -2.2633 -2.8790 Na
-0.3570 -0.2779 -0.5238 S
0.1775 -2.5342 0.3068 Au
```

Properties
total moment: 0.00 μB per formula unit
formation energy from raw total energies: -0.519 eV/atom
SG: P-6m2



Entry 8:
An optimized crystal structure of NaAuS3. Source: Alexandria via LeMat-Bulk, functional GGA-PBE.

```
NaAuS3
1.0
-4.1961 1.1202 -2.2931
0.5449 -3.9179 -2.9111
-2.4933 -2.7416 3.2231
Na S Au
1 3 1
Cartesian
-3.0723 -2.7696 -0.9906 Na
0.2724 -1.9589 -1.4555 S
-1.2466 -1.3708 1.6115 S
-2.0981 0.5601 -1.1466 S
0.0000 0.0000 0.0000 Au
```

Properties
total moment: 0.00 μB per formula unit
formation energy from raw total energies: 0.247 eV/atom
SG: Pm-3m



Entry 9:
An optimized crystal structure of Na2AuS2. Source: Alexandria via LeMat-Bulk, functional GGA-PBE.

```
Na2AuS2
1.0
3.7901 0.0000 0.0000
0.0000 5.3659 0.0000
-1.8950 -2.6829 6.1015
Na Au S
2 1 2
Cartesian
1.8950 2.6829 2.2793 Na
0.0000 0.0000 3.8222 Na
0.0000 0.0000 0.0000 Au
0.0000 2.6829 4.4714 S
1.8950 0.0000 1.6301 S
```

Properties
total moment: 0.00 μB per formula unit
formation energy from raw total energies: -0.605 eV/atom
SG: Immm



Entry 10:
An optimized crystal structure of NaAuS3. Source: Alexandria via LeMat-Bulk, functional GGA-PBE.

```
NaAuS3
1.0
-3.5982 1.9467 2.6669
3.6334 -3.1978 7.2365
8.5050 8.8840 -0.3444
Na Au S
4 4 12
Cartesian
3.7206 4.1612 7.8057 Na
4.8195 3.4718 1.7534 Na
7.2586 8.8997 2.8863 Na
1.2815 -1.2667 6.6728 Na
7.9644 5.1985 8.2159 Au
0.5757 2.4345 1.3431 Au
4.4598 6.5907 5.3538 Au
4.0803 1.0423 4.2052 Au
4.7475 6.1338 0.4653 S
3.7926 1.4991 9.0937 S
8.1236 6.4822 4.1611 S
0.4165 1.1508 5.3979 S
3.9192 4.6110 4.1751 S
4.6209 3.0219 5.3839 S
8.1058 7.5294 8.5997 S
0.4343 0.1036 0.9593 S
5.3646 -0.1342 6.2958 S
3.1755 7.7672 3.2632 S
1.5500 1.6232 3.7507 S
6.9901 6.0097 5.8083 S
```

Properties
total moment: 0.00 μB per formula unit
formation energy from raw total energies: -0.265 eV/atom
SG: P2_1/c



Entry 11:
An optimized crystal structure of Na3AuS. Source: Alexandria via LeMat-Bulk, functional GGA-PBE.

```
Na3AuS
1.0
5.2472 0.0000 0.0000
0.0000 5.2472 0.0000
0.0000 0.0000 5.2472
Na S Au
3 1 1
Cartesian
0.0000 2.6236 0.0000 Na
0.0000 0.0000 2.6236 Na
2.6236 0.0000 0.0000 Na
0.0000 0.0000 0.0000 S
2.6236 2.6236 2.6236 Au
```

Properties
total moment: 0.00 μB per formula unit
formation energy from raw total energies: -0.617 eV/atom
SG: Pm-3m



Entry 12:
An optimized crystal structure of NaAuS. Source: Alexandria via LeMat-Bulk, functional GGA-PBE.

```
NaAuS
1.0
13.0552 -0.0184 0.0000
-4.6105 12.2140 0.0000
0.0000 0.0000 7.1692
Na Au S
16 16 16
Cartesian
6.3241 9.1331 0.0000 Na
6.3430 9.1603 3.5846 Na
2.1017 3.0353 3.5846 Na
2.1206 3.0625 0.0000 Na
6.2216 4.7134 0.0000 Na
-2.6112 10.8296 3.5846 Na
11.0559 1.3660 3.5846 Na
2.2231 7.4822 0.0000 Na
4.8542 0.0214 4.7319 Na
5.9102 1.5465 1.1472 Na
2.5346 10.6491 1.1472 Na
3.5906 12.1742 4.7319 Na
-0.6318 6.0764 6.0220 Na
-1.6878 4.5513 2.4374 Na
10.1325 7.6442 2.4374 Na
9.0765 6.1192 6.0220 Na
3.0786 9.1021 3.7796 Au
9.8405 -0.0048 0.1950 Au
-1.3958 12.2004 0.1950 Au
5.3661 3.0934 3.7796 Au
-3.4667 9.2097 6.9743 Au
7.4370 6.0842 3.3897 Au
1.0077 6.1114 3.3897 Au
11.9115 2.9859 6.9743 Au
4.2224 6.0978 1.9939 Au
0.0000 0.0000 5.5786 Au
0.0000 0.0000 1.5907 Au
4.2224 6.0978 5.1753 Au
-0.1941 9.1559 5.3769 Au
8.6388 3.0397 1.7923 Au
-0.1941 9.1559 1.7923 Au
8.6388 3.0397 5.3769 Au
4.2180 8.4356 1.8452 S
6.2549 11.3772 5.4299 S
2.1898 0.8184 5.4299 S
4.2267 3.7600 1.8452 S
8.4491 9.8578 1.7394 S
6.4122 6.9162 5.3240 S
2.0325 5.2794 5.3240 S
-0.0044 2.3378 1.7394 S
1.9691 9.9920 5.6281 S
8.6172 0.7206 2.0434 S
-0.1725 11.4750 2.0434 S
6.4756 2.2035 5.6281 S
-2.3572 8.3198 5.1258 S
8.6604 5.3587 1.5412 S
-0.2157 6.8369 1.5412 S
10.8020 3.8758 5.1258 S
```

Properties
total moment: 0.00 μB per formula unit
formation energy from raw total energies: -0.672 eV/atom
SG: Ccce



Respective final energy values: -4.161 -4.358 -2.614 -3.575 -2.611 -2.322 -3.427 -3.149 -3.439 -3.660 -2.889 -3.580 eV per atom.
Respective Fermi-level density of states values: 2.626 6.966 3.985 6.912 3.715 8.140 0.253 5.035 3.114 1.002 0.000 0.000 states/eV/f.u..